Below is a relaxed structure of FeSeI3, with properties calculated at the PBE-GGA level.

Cell lengths 5.1893, 5.1893, 5.1893 Å; angles 90.00, 90.00, 90.00 degrees
Last column: nearest neighbours and their distance in Å.
Fractional positions:
Fe (0.0000, 0.0000, 0.0000)  6 I 2.59
Se (0.5000, 0.5000, 0.5000)  12 I 3.67
I (0.0000, 0.0000, 0.5000)  2 Fe 2.59
I (0.0000, 0.5000, 0.0000)  2 Fe 2.59
I (0.5000, 0.0000, 0.0000)  2 Fe 2.59

Properties
energy relative to the elements, uncorrected	0.60	eV per atom
energy above the lowest structure with this stoichiometry	0.00	eV per formula unit
space group	Pm-3m (221)


Below is a relaxed structure of Nb2CrNi, with properties calculated at the PBE-GGA level.

Cell lengths 4.3821, 4.3821, 4.3821 Å; angles 60.00, 60.00, 60.00 degrees
Last column: nearest neighbours and their distance in Å.
Fractional positions:
Nb (0.2500, 0.2500, 0.2500)  4 Cr 2.68, 4 Ni 2.68
Nb (0.7500, 0.7500, 0.7500)  4 Cr 2.68, 4 Ni 2.68
Cr (0.0000, 0.0000, 0.0000)  8 Nb 2.68
Ni (0.5000, 0.5000, 0.5000)  8 Nb 2.68

Properties
energy above the lowest structure with this stoichiometry	0.17	eV per formula unit
space group	Fm-3m (225)


Below is a relaxed structure of Pr7TmIn2, with properties calculated at the PBE-GGA level.

Cell lengths 9.3758, 9.3758, 5.4199 Å; angles 90.00, 90.00, 119.65 degrees
Last column: nearest neighbours and their distance in Å.
Fractional positions:
Pr (0.0000, 0.0000, 0.0000)  2 In 3.16
Pr (0.1983, 0.4383, 0.0000)  2 In 3.24-3.46, 4 Pr 3.43-3.61
Pr (0.2777, 0.7223, 0.5000)  2 In 3.03
Pr (0.4383, 0.1983, 0.0000)  2 In 3.24-3.46, 4 Pr 3.43-3.61
Pr (0.5617, 0.8017, 0.0000)  2 In 3.24-3.46, 4 Pr 3.43-3.61
Pr (0.7223, 0.2777, 0.5000)  2 In 3.03
Pr (0.8017, 0.5617, 0.0000)  2 In 3.24-3.46, 4 Pr 3.43-3.61
Tm (0.5000, 0.5000, 0.5000)  10 Pr 3.60-3.75
In (0.1948, 0.8052, 0.0000)  5 Pr 3.03-3.24
In (0.8052, 0.1948, 0.0000)  5 Pr 3.03-3.24

Properties
space group	Cmmm (65)


Below is a relaxed structure of PmDy4Hg4, with properties calculated at the PBE-GGA level.

Cell lengths 9.5765, 9.5765, 5.5258 Å; angles 90.00, 90.00, 90.00 degrees
Last column: nearest neighbours and their distance in Å.
Fractional positions:
Pm (0.2500, 0.2500, 0.2500)  4 Hg 3.17, 4 Dy 3.49
Pm (0.7500, 0.7500, 0.7500)  4 Hg 3.17, 4 Dy 3.49
Dy (0.0998, 0.8392, 0.6585)  4 Hg 3.08-3.15, 1 Dy 3.35
Dy (0.1608, 0.5998, 0.1585)  4 Hg 3.08-3.15, 1 Dy 3.35
Dy (0.3392, 0.9002, 0.1585)  4 Hg 3.08-3.15, 1 Dy 3.35
Dy (0.4002, 0.6608, 0.6585)  4 Hg 3.08-3.15, 1 Dy 3.35
Dy (0.5998, 0.3392, 0.3415)  4 Hg 3.08-3.15, 1 Dy 3.35
Dy (0.6608, 0.0998, 0.8415)  4 Hg 3.08-3.15, 1 Dy 3.35
Dy (0.8392, 0.4002, 0.8415)  4 Hg 3.08-3.15, 1 Dy 3.35
Dy (0.9002, 0.1608, 0.3415)  4 Hg 3.08-3.15, 1 Dy 3.35
Hg (0.0427, 0.1451, 0.8424)  4 Dy 3.08-3.15, 1 Pm 3.17, 3 Hg 3.31-3.38
Hg (0.1451, 0.4573, 0.6576)  4 Dy 3.08-3.15, 1 Pm 3.17, 3 Hg 3.31-3.38
Hg (0.3549, 0.0427, 0.6576)  4 Dy 3.08-3.15, 1 Pm 3.17, 3 Hg 3.31-3.38
Hg (0.4573, 0.3549, 0.8424)  4 Dy 3.08-3.15, 1 Pm 3.17, 3 Hg 3.31-3.38
Hg (0.5427, 0.6451, 0.1576)  4 Dy 3.08-3.15, 1 Pm 3.17, 3 Hg 3.31-3.38
Hg (0.6451, 0.9573, 0.3424)  4 Dy 3.08-3.15, 1 Pm 3.17, 3 Hg 3.31-3.38
Hg (0.8549, 0.5427, 0.3424)  4 Dy 3.08-3.15, 1 Pm 3.17, 3 Hg 3.31-3.38
Hg (0.9573, 0.8549, 0.1576)  4 Dy 3.08-3.15, 1 Pm 3.17, 3 Hg 3.31-3.38

Properties
space group	P4_2/n (86)


Below is a relaxed structure of RbNd2PtO5, with properties calculated at the PBE-GGA level.

Cell lengths 7.8143, 7.8143, 7.8143 Å; angles 127.89, 127.89, 76.81 degrees
Last column: nearest neighbours and their distance in Å.
Fractional positions:
Rb (0.2500, 0.2500, 0.0000)  10 O 3.06-3.16
Rb (0.7500, 0.7500, 0.0000)  10 O 3.06-3.16
Nd (0.1763, 0.6763, 0.8526)  8 O 2.39-2.55
Nd (0.3237, 0.1763, 0.5000)  8 O 2.39-2.55
Nd (0.6763, 0.8237, 0.5000)  8 O 2.39-2.55
Nd (0.8237, 0.3237, 0.1474)  8 O 2.39-2.55
Pt (0.2500, 0.7500, 0.5000)  4 O 2.04
Pt (0.7500, 0.2500, 0.5000)  4 O 2.04
O (0.0000, 0.0000, 0.0000)  4 Nd 2.53
O (0.0095, 0.2560, 0.5000)  1 Pt 2.04
O (0.2440, 0.4905, 0.5000)  1 Pt 2.04
O (0.2560, 0.7560, 0.2465)  1 Pt 2.04
O (0.4905, 0.9905, 0.2465)  1 Pt 2.04
O (0.5000, 0.5000, 0.0000)  4 Nd 2.53
O (0.5095, 0.0095, 0.7535)  1 Pt 2.04
O (0.7440, 0.2440, 0.7535)  1 Pt 2.04
O (0.7560, 0.5095, 0.5000)  1 Pt 2.04
O (0.9905, 0.7440, 0.5000)  1 Pt 2.04

Properties
energy relative to the elements, uncorrected	-2.05	eV per atom
space group	I4/mcm (140)


Below is a relaxed structure of Na2Tl6Ag, with properties calculated at the PBE-GGA level.

Cell lengths 7.2037, 7.2037, 5.9735 Å; angles 90.03, 90.03, 60.00 degrees
Last column: nearest neighbours and their distance in Å.
Fractional positions:
Na (0.1672, 0.1672, 0.3058)  12 Tl 3.52-3.67
Na (0.8328, 0.8328, 0.6942)  12 Tl 3.52-3.67
Tl (0.1371, 0.6814, 0.1959)  1 Ag 2.90
Tl (0.3190, 0.3190, 0.8032)  1 Ag 2.90
Tl (0.3186, 0.8629, 0.8041)  1 Ag 2.90
Tl (0.6814, 0.1371, 0.1959)  1 Ag 2.90
Tl (0.6810, 0.6810, 0.1968)  1 Ag 2.90
Tl (0.8629, 0.3186, 0.8041)  1 Ag 2.90
Ag (0.5000, 0.5000, 0.5000)  6 Tl 2.90

Properties
energy above the lowest structure with this stoichiometry	0.00	eV per formula unit
space group	C2/m (12)


no.,E (eV/atom)
1,-2.72
2,-8.87
3,-4.03
4,-2.96
5,-6.64
6,-2.19